1.
Computed, not measured: an optimized crystal structure of Y3BeGe at the GGA-PBE level of DFT.

abc: 5.0924 5.0924 5.0924
angles: 90.00 90.00 90.00
Space group Pm-3m (No. 221)
Symmetry-distinct sites (fractional):
Y1 0.0000 0.0000 0.5000
Be1 0.0000 0.0000 0.0000
Ge1 0.5000 0.5000 0.5000

Output
Its excess energy over the best structure of this formula in the dataset is 0.000 eV per atom. The crystal system is cubic. The calculation puts the energy of formation from the pure elements at 0.7 kcal/mol of atoms.



2.
Computed, not measured: an optimized crystal structure of YBeGe at the GGA-PBE level of DFT.

abc: 3.9175 4.0761 6.8683
angles: 90.00 90.00 90.00
Space group Pmmm (No. 47)
Symmetry-distinct sites (fractional):
Y1 0.0000 0.0000 0.0000
Y2 0.5000 0.0000 0.5000
Be1 0.0000 0.5000 0.3436
Ge1 0.5000 0.5000 0.1825

Output
The crystal system is orthorhombic. The calculation puts the energy of formation from the pure elements at -13.5 kcal/mol of atoms.



3.
Computed, not measured: an optimized crystal structure of Y2BeGe2 at the GGA-PBE level of DFT.

abc: 5.7610 5.7610 7.0501
angles: 90.00 90.00 90.00
Space group I4/mmm (No. 139)
Symmetry-distinct sites (fractional):
Y1 0.0000 0.5000 0.2500
Be1 0.0000 0.0000 0.0000
Ge1 0.0000 0.0000 0.3172

Output
Its excess energy over the best structure of this formula in the dataset is 0.499 eV per atom. The crystal system is tetragonal. The calculation puts the energy of formation from the pure elements at -1.5 kcal/mol of atoms.



4.
Computed, not measured: an optimized crystal structure of Y2BeGe2 at the GGA-PBE level of DFT.

abc: 6.7974 6.7974 4.3879
angles: 90.00 90.00 90.00
Space group P4/mbm (No. 127)
Symmetry-distinct sites (fractional):
Y1 0.1756 0.3244 0.0000
Be1 0.0000 0.0000 0.5000
Ge1 0.1321 0.6321 0.5000

Output
Its excess energy over the best structure of this formula in the dataset is 0.000 eV per atom. The crystal system is tetragonal. The calculation puts the energy of formation from the pure elements at -13.0 kcal/mol of atoms.



5.
Computed, not measured: an optimized crystal structure of Y2Be2Ge at the GGA-PBE level of DFT.

abc: 6.5586 6.5586 4.3041
angles: 90.00 90.00 90.00
Space group P4/mbm (No. 127)
Symmetry-distinct sites (fractional):
Y1 0.1742 0.3258 0.0000
Be1 0.1187 0.6187 0.5000
Ge1 0.0000 0.0000 0.5000

Output
The crystal system is tetragonal. The calculation puts the energy of formation from the pure elements at -6.3 kcal/mol of atoms.



6.
Computed, not measured: an optimized crystal structure of Y2Be2Ge3 at the GGA-PBE level of DFT.

abc: 3.9115 18.7119 6.8756
angles: 90.00 90.00 90.00
Space group Cmcm (No. 63)
Symmetry-distinct sites (fractional):
Y1 0.0000 0.0464 0.2500
Y2 0.0000 0.1716 0.7500
Be1 0.0000 0.3358 0.5972
Ge1 0.0000 0.2075 0.2500
Ge2 0.0000 0.4357 0.0708

Output
The crystal system is orthorhombic. The calculation puts the energy of formation from the pure elements at -10.7 kcal/mol of atoms.